# NaTl3Ga2F9 PBE relaxed
data_NaTl3Ga2F9
_chemical_formula_sum 'Na1 Tl3 Ga2 F9'
_space_group_name_H-M_alt 'P -3 m 1'
_space_group_IT_number 164
_space_group_name_Hall '-P 3 2"'
_cell_length_a 6.0918
_cell_length_b 6.0918
_cell_length_c 7.4237
_cell_angle_alpha 90.00
_cell_angle_beta 90.00
_cell_angle_gamma 120.00
loop_
_atom_site_label
_atom_site_fract_x
_atom_site_fract_y
_atom_site_fract_z
Na1 0.0000 0.0000 0.0000
Tl1 0.0000 0.0000 0.5000
Tl2 0.3333 0.6667 0.1568
Ga1 0.3333 0.6667 0.6622
F1 0.0000 0.5000 0.5000
F2 0.1806 0.3611 0.8126
# - ΔE_f (raw): -2.210 eV per atom

=====

Density functional theory data (PBE) for Cu2H8PdRh3 after structural relaxation.

The structure in CIF format:
```
data_Cu2H8PdRh3
_chemical_formula_sum 'Cu6 H24 Pd3 Rh9'
_space_group_name_H-M_alt 'R 3 m'
_space_group_IT_number 160
_space_group_name_Hall 'R 3 -2"'
_cell_length_a 5.6605
_cell_length_b 5.6605
_cell_length_c 12.5678
_cell_angle_alpha 90.00
_cell_angle_beta 90.00
_cell_angle_gamma 120.00
loop_
_atom_site_label
_atom_site_fract_x
_atom_site_fract_y
_atom_site_fract_z
Cu1 0.0000 0.0000 0.0000
Cu2 0.0000 0.0000 0.3867
H1 0.0000 0.0000 0.2414
H2 0.0000 0.0000 0.7589
H3 0.0233 0.5116 0.7647
H4 0.1805 0.3611 0.5749
Pd1 0.0000 0.0000 0.6126
Rh1 0.9996 0.4998 0.4996
```

=====

# BaSr2VNi PBE relaxed
data_BaSr2VNi
_chemical_formula_sum 'Ba1 Sr2 V1 Ni1'
_space_group_name_H-M_alt 'P 4/m m m'
_space_group_IT_number 123
_space_group_name_Hall '-P 4 2'
_cell_length_a 5.970
_cell_length_b 5.970
_cell_length_c 4.881
_cell_angle_alpha 90.00
_cell_angle_beta 90.00
_cell_angle_gamma 90.00
loop_
_atom_site_label
_atom_site_fract_x
_atom_site_fract_y
_atom_site_fract_z
Ba1 0.000 0.000 0.000
Sr1 0.000 0.500 0.500
V1 0.500 0.500 0.000
Ni1 0.500 0.500 0.500
# - E_form: 0.41 eV per atom

=====

# BaOs2 PBE relaxed
data_BaOs2
_chemical_formula_sum 'Ba1 Os2'
_space_group_name_H-M_alt 'P -3 m 1'
_space_group_IT_number 164
_space_group_name_Hall '-P 3 2"'
_cell_length_a 4.1415
_cell_length_b 4.1415
_cell_length_c 5.3557
_cell_angle_alpha 90.00
_cell_angle_beta 90.00
_cell_angle_gamma 120.00
loop_
_atom_site_label
_atom_site_fract_x
_atom_site_fract_y
_atom_site_fract_z
Ba1 0.0000 0.0000 0.0000
Os1 0.3333 0.6667 0.4687
# - E_form: 0.42 eV per atom
# - Excess energy over the best structure of this formula in the dataset: 0.0 kJ/mol of formula units

=====

# CaPCl PBE relaxed
data_CaPCl
_chemical_formula_sum 'Ca2 P2 Cl2'
_space_group_name_H-M_alt 'I 4 m m'
_space_group_IT_number 107
_space_group_name_Hall 'I 4 -2'
_cell_length_a 3.271
_cell_length_b 3.271
_cell_length_c 14.968
_cell_angle_alpha 90.00
_cell_angle_beta 90.00
_cell_angle_gamma 90.00
loop_
_atom_site_label
_atom_site_fract_x
_atom_site_fract_y
_atom_site_fract_z
Ca1 0.000 0.000 0.000
P1 0.000 0.000 0.360
Cl1 0.000 0.000 0.602
# - ΔE_f (raw): -0.848 eV per atom
# - Excess energy over the best structure of this formula in the dataset: 173.3 kJ/mol of formula units

=====

# Sr2SmGa2O6 PBE relaxed
data_Sr2SmGa2O6
_chemical_formula_sum 'Sr2 Sm1 Ga2 O6'
_space_group_name_H-M_alt 'P -3'
_space_group_IT_number 147
_cell_length_a 6.0998
_cell_length_b 6.0998
_cell_length_c 6.9989
_cell_angle_alpha 90.00
_cell_angle_beta 90.00
_cell_angle_gamma 120.00
loop_
_space_group_symop_operation_xyz
'x,y,z'
'-x,-y,-z'
'-y,x-y,z'
'y,-x+y,-z'
'-x+y,-x,z'
'x-y,x,-z'
loop_
_atom_site_label
_atom_site_fract_x
_atom_site_fract_y
_atom_site_fract_z
Sr1 0.3333 0.6667 0.1703
Sm1 0.0000 0.0000 0.0000
Ga1 0.3333 0.6667 0.7344
O1 0.0816 0.7205 0.8256
# - ΔE_f (raw): -2.238 eV per atom

=====

| no. | total DFT energy (no corrections) (eV/atom) |
| --- | --- |
| 1 | -4.30 |
| 2 | -4.42 |
| 3 | -3.63 |
| 4 | -7.71 |
| 5 | -3.93 |
| 6 | -6.23 |